1.
A plane-wave DFT calculation with PBE was carried out for a relaxed Dy6Ru2Au crystal.

a b c (Å): 8.378 8.378 8.378
angles (deg): 104.35 111.77 112.41
Fractional coordinates of all 18 atoms:
Au 0.000 0.500 0.500
Dy 0.195 0.757 0.952
Dy 0.540 0.720 0.819
Ru 0.326 0.000 0.326
Dy 0.805 0.757 0.562
Ru 0.500 0.626 0.126
Dy 0.805 0.243 0.048
Dy 0.901 0.720 0.181
Dy 0.460 0.280 0.181
Ru 0.674 0.000 0.674
Dy 0.687 0.357 0.670
Dy 0.313 0.983 0.670
Au 0.000 0.000 0.000
Dy 0.195 0.243 0.438
Dy 0.687 0.017 0.330
Ru 0.500 0.374 0.874
Dy 0.099 0.280 0.819
Dy 0.313 0.643 0.330

Values from the calculation:
Calculated density = 10.14 Mg/m³
Energy = -5.93 eV per atom
Space-group type = Immm (71)

2.
A plane-wave DFT calculation with PBE was carried out for a relaxed ZnReTeN2 crystal.

a b c (Å): 3.852 3.852 5.410
angles (deg): 90.00 90.00 90.00
Fractional coordinates of all 5 atoms:
Zn 0.000 0.000 0.000
N 0.500 0.000 0.000
Re 0.500 0.500 0.500
Te 0.000 0.000 0.500
N 0.000 0.500 0.000

Values from the calculation:
Calculated density = 8.42 Mg/m³
Formation energy from raw total energies = 2209 meV per atom
Energy relative to the lowest polymorph listed for this composition = 1799 meV per atom
Space-group type = P4/mmm (123)

3.
A plane-wave DFT calculation with PBE was carried out for a relaxed TaHgN2O crystal.

a b c (Å): 4.119 4.119 4.023
angles (deg): 90.00 90.00 90.00
Fractional coordinates of all 5 atoms:
N 0.500 0.000 0.000
O 0.000 0.000 0.500
Ta 0.500 0.500 0.500
N 0.000 0.500 0.000
Hg 0.000 0.000 0.000

Values from the calculation:
Calculated density = 10.35 Mg/m³
Formation energy from raw total energies = 1870 meV per atom
Space-group type = P4/mmm (123)